Entry 1:
DFT (GGA-PBE) results for a relaxed structure of SrCa2GaPd.

Calculated formation energy (meV per atom): -336.5
Raw total energy (eV/atom): -3.117

Unit cell a=5.590 b=5.590 c=5.021 alpha=90.00 beta=90.00 gamma=90.00
Space group P4/mmm (No. 123)
Asymmetric unit:
Sr 0.000 0.000 0.000
Ca 0.000 0.500 0.500
Ga 0.500 0.500 0.000
Pd 0.500 0.500 0.500

---

Entry 2:
DFT (GGA-PBE) results for a relaxed structure of InSiTc2.

Formation energy (no corrections) (eV/atom): 0.12
Raw total energy (eV/atom): -7.107

Unit cell a=3.143 b=4.908 c=8.256 alpha=90.00 beta=90.00 gamma=90.00
Space group Cmmm (No. 65)
Asymmetric unit:
In 0.000 0.000 0.000
Si 0.000 0.000 0.500
Tc 0.000 0.500 0.282

---

- What is the raw total energy in the second record?
  -7.107 eV/atom

---

- Among the records above, which one has the lowest raw total energy?
  InSiTc2

---

- The lowest raw total energy belongs to which entry?
  InSiTc2

---

- Which value of raw total energy does entry 2 give?
  -7.107 eV/atom